A plane-wave DFT calculation with PBE-GGA was carried out for a geometry-optimized NdTlIn structure.

```
NdTlIn
1.0
-2.273 -2.767 -0.843
2.892 -2.194 -0.595
-0.403 0.715 6.769
In Tl Nd
1 1 1
Cartesian
0.287 -2.915 0.769
-0.051 -0.970 3.326
0.225 -4.077 4.753
```

Properties
As for the symmetry: I4mm, No. 107. For the total magnetization, the calculation gives 0.0 μB per cell. The distance to the lowest polymorph of the same formula comes out at 108 meV per atom. As for the formation energy from the elements: -0.256 eV/atom.